No. 1
## SrTcTe2 (PBE)

Data for a relaxed structure of SrTcTe2.

Cell: 4.2670 4.1901 6.3780 Å, 81.43 90.00 90.00°
Atoms (fractional coordinates):
1 Te 0.0000 0.8716 0.9773
2 Te 0.0000 0.6284 0.5227
3 Sr 0.5000 0.2500 0.2500
4 Tc 0.5000 0.7500 0.7500

- ΔE_f (raw): -0.220 eV/atom
- D(E_F): 0.66 states/eV per atom

No. 2
## SrTc2Te (PBE)

Data for a relaxed structure of SrTc2Te.

Cell: 4.2641 4.2641 6.7375 Å, 71.55 71.55 59.99°
Atoms (fractional coordinates):
1 Tc 0.9556 0.9556 0.1333
2 Tc 0.2684 0.2684 0.1949
3 Sr 0.7427 0.7427 0.7718
4 Te 0.5333 0.5333 0.4000

- ΔE_f (raw): -0.102 eV/atom
- D(E_F): 0.18 states/eV per atom

No. 3
## SrTcTe (PBE)

Data for a relaxed structure of SrTcTe.

Cell: 4.5454 4.5454 4.5981 Å, 90.00 90.00 120.00°
Atoms (fractional coordinates):
1 Te 0.3333 0.6667 0.5001
2 Sr 0.0000 0.0000 0.0000
3 Tc 0.6667 0.3333 0.4999

- ΔE_f (raw): -0.085 eV/atom
- D(E_F): 1.01 states/eV per atom

No. 4
## SrTcTe2 (PBE)

Data for a relaxed structure of SrTcTe2.

Cell: 4.3313 4.3313 7.0624 Å, 72.11 72.11 60.02°
Atoms (fractional coordinates):
1 Te 0.5224 0.5224 0.4324
2 Te 0.9776 0.9776 0.0676
3 Sr 0.7500 0.7500 0.7500
4 Tc 0.2500 0.2500 0.2500

- ΔE_f (raw): -0.500 eV/atom
- D(E_F): 1.07 states/eV per atom

No. 5
## SrTcTe2 (PBE)

Data for a relaxed structure of SrTcTe2.

Cell: 3.5702 3.5702 7.7960 Å, 90.00 90.00 96.76°
Atoms (fractional coordinates):
1 Te 0.0000 0.0000 0.9547
2 Te 0.0000 0.0000 0.5453
3 Sr 0.5000 0.5000 0.2500
4 Tc 0.5000 0.5000 0.7500

- ΔE_f (raw): -0.112 eV/atom
- D(E_F): 0.96 states/eV per atom

No. 6
## SrTcTe (PBE)

Data for a relaxed structure of SrTcTe.

Cell: 4.4810 4.4810 8.2921 Å, 90.00 90.00 90.00°
Atoms (fractional coordinates):
1 Sr 0.5000 0.0000 0.1880
2 Sr 0.0000 0.5000 0.8120
3 Te 0.5000 0.0000 0.6722
4 Te 0.0000 0.5000 0.3278
5 Tc 0.5000 0.5000 0.5000
6 Tc 0.0000 0.0000 0.5000

- ΔE_f (raw): -0.311 eV/atom
- D(E_F): 1.31 states/eV per atom

No. 7
## SrTc2Te (PBE)

Data for a relaxed structure of SrTc2Te.

Cell: 5.1936 5.1936 5.5850 Å, 72.69 72.69 44.83°
Atoms (fractional coordinates):
1 Tc 0.5246 0.5246 0.3499
2 Tc 0.9754 0.9754 0.1501
3 Te 0.2500 0.2500 0.2500
4 Sr 0.7500 0.7500 0.7500

- ΔE_f (raw): 0.272 eV/atom
- D(E_F): 0.77 states/eV per atom

No. 8
## SrTcTe2 (PBE)

Data for a relaxed structure of SrTcTe2.

Cell: 8.3313 5.2796 3.6981 Å, 89.99 63.67 129.32°
Atoms (fractional coordinates):
1 Sr 0.0000 0.5000 0.5000
2 Te 0.5000 0.0000 0.5000
3 Te 0.0000 0.0000 0.0000
4 Tc 0.5000 0.5000 0.0000

- ΔE_f (raw): -0.068 eV/atom
- D(E_F): 0.85 states/eV per atom

No. 9
## SrTh2Tc (PBE)

Data for a relaxed structure of SrTh2Tc.

Cell: 4.0782 4.0782 11.1459 Å, 79.46 79.46 60.00°
Atoms (fractional coordinates):
1 Th 0.8794 0.8794 0.3618
2 Th 0.1206 0.1206 0.6382
3 Sr 0.0000 0.0000 0.0000
4 Tc 0.5000 0.5000 0.5000

- E_form: 167 meV/atom
- D(E_F): 1.22 states/eV per atom

No. 10
## SrTiTc2 (PBE)

Data for a relaxed structure of SrTiTc2.

Cell: 4.6843 4.6843 4.6843 Å, 60.00 60.00 60.00°
Atoms (fractional coordinates):
1 Tc 0.2500 0.2500 0.2500
2 Tc 0.7500 0.7500 0.7500
3 Ti 0.0000 0.0000 0.0000
4 Sr 0.5000 0.5000 0.5000

- E_form: 700 meV/atom
- D(E_F): 1.21 states/eV per atom

No. 11
## SrTi3Tc (PBE)

Data for a relaxed structure of SrTi3Tc.

Cell: 4.6112 4.6112 4.6112 Å, 90.00 90.00 90.00°
Atoms (fractional coordinates):
1 Ti 0.0000 0.0000 0.5000
2 Ti 0.5000 0.0000 0.0000
3 Ti 0.0000 0.5000 0.0000
4 Sr 0.0000 0.0000 0.0000
5 Tc 0.5000 0.5000 0.5000

- E_form: 2143 meV/atom
- D(E_F): 1.51 states/eV per atom

No. 12
## SrTiTc2 (PBE)

Data for a relaxed structure of SrTiTc2.

Cell: 4.8998 4.8998 9.2213 Å, 74.59 74.59 90.00°
Atoms (fractional coordinates):
1 Sr 0.0000 0.0000 0.0000
2 Sr 0.7500 0.2500 0.5000
3 Tc 0.8750 0.6251 0.7500
4 Tc 0.3751 0.1250 0.2500
5 Tc 0.3750 0.6249 0.7500
6 Tc 0.3749 0.6250 0.2500
7 Ti 0.2500 0.7500 0.5000
8 Ti 0.5000 0.5000 0.0000

- E_form: 800 meV/atom
- D(E_F): 1.00 states/eV per atom

No. 13
## SrTi3Tc (PBE)

Data for a relaxed structure of SrTi3Tc.

Cell: 4.8818 4.8818 4.8818 Å, 90.00 90.00 90.00°
Atoms (fractional coordinates):
1 Ti 0.0000 0.0000 0.5000
2 Ti 0.5000 0.0000 0.0000
3 Ti 0.0000 0.5000 0.0000
4 Tc 0.0000 0.0000 0.0000
5 Sr 0.5000 0.5000 0.5000

- E_form: 367 meV/atom
- D(E_F): 1.48 states/eV per atom

No. 14
## Sr2TiVTc (PBE)

Data for a relaxed structure of Sr2TiVTc.

Cell: 5.8817 4.4328 5.8817 Å, 90.00 90.00 90.00°
Atoms (fractional coordinates):
1 Ti 0.5000 0.5000 0.5000
2 Tc 0.0000 0.0000 0.0000
3 V 0.0000 0.5000 0.0000
4 Sr 0.5000 0.0000 0.0000
5 Sr 0.0000 0.0000 0.5000

- E_form: 1202 meV/atom
- D(E_F): 2.15 states/eV per atom

No. 15
## SrZr2TiTc (PBE)

Data for a relaxed structure of SrZr2TiTc.

Cell: 5.0429 4.4848 5.0429 Å, 90.00 90.00 90.00°
Atoms (fractional coordinates):
1 Sr 0.0000 0.0000 0.0000
2 Ti 0.0000 0.5000 0.0000
3 Zr 0.0000 0.0000 0.5000
4 Zr 0.5000 0.0000 0.0000
5 Tc 0.5000 0.5000 0.5000

- E_form: 2207 meV/atom
- D(E_F): 1.92 states/eV per atom

No. 16
## SrZrTi2Tc (PBE)

Data for a relaxed structure of SrZrTi2Tc.

Cell: 4.7769 4.7769 5.3736 Å, 90.00 90.00 90.00°
Atoms (fractional coordinates):
1 Sr 0.0000 0.0000 0.5000
2 Tc 0.0000 0.0000 0.0000
3 Zr 0.5000 0.5000 0.5000
4 Ti 0.0000 0.5000 0.0000
5 Ti 0.5000 0.0000 0.0000

- E_form: 843 meV/atom
- D(E_F): 1.97 states/eV per atom

No. 17
## SrZr2TiTc (PBE)

Data for a relaxed structure of SrZr2TiTc.

Cell: 5.2170 4.6084 5.2170 Å, 90.00 90.00 90.00°
Atoms (fractional coordinates):
1 Ti 0.0000 0.0000 0.0000
2 Sr 0.5000 0.5000 0.5000
3 Tc 0.0000 0.5000 0.0000
4 Zr 0.0000 0.0000 0.5000
5 Zr 0.5000 0.0000 0.0000

- E_form: 731 meV/atom
- D(E_F): 1.77 states/eV per atom

No. 18
## SrTlTc2 (PBE)

Data for a relaxed structure of SrTlTc2.

Cell: 3.3437 4.1853 6.7378 Å, 90.00 90.00 90.00°
Atoms (fractional coordinates):
1 Tc 0.0000 0.0000 0.4164
2 Tc 0.0000 0.0000 0.0836
3 Tl 0.5000 0.5000 0.2500
4 Sr 0.5000 0.5000 0.7500

- E_form: 759 meV/atom
- D(E_F): 1.04 states/eV per atom

No. 19
## SrTlTc2 (PBE)

Data for a relaxed structure of SrTlTc2.

Cell: 8.1359 8.1359 6.4173 Å, 50.66 50.66 90.00°
Atoms (fractional coordinates):
1 Tc 0.8750 0.9145 0.7500
2 Tc 0.3750 0.3355 0.7500
3 Tc 0.0855 0.6250 0.2500
4 Tc 0.6645 0.1250 0.2500
5 Tl 0.7500 0.2500 0.5000
6 Tl 0.0000 0.0000 0.0000
7 Sr 0.5000 0.5000 0.0000
8 Sr 0.2500 0.7500 0.5000

- E_form: 1291 meV/atom
- D(E_F): 1.09 states/eV per atom

No. 20
## SrTlTc2 (PBE)

Data for a relaxed structure of SrTlTc2.

Cell: 5.6531 5.8481 2.8832 Å, 78.47 84.46 117.36°
Atoms (fractional coordinates):
1 Tc 0.0000 0.0000 0.0000
2 Tc 0.5000 0.0000 0.5000
3 Sr 0.5000 0.5000 0.0000
4 Tl 0.0000 0.5000 0.5000

- E_form: 987 meV/atom
- D(E_F): 1.10 states/eV per atom